[1]
The following is a DFT calculation (SCAN) of AsP at its PBEsol-relaxed geometry.

Values from the calculation:
total magnetic moment	0.000	μB/atom
offset from the most stable computed form	39.8	meV/atom
total DFT energy (no corrections)	-60.8	eV for the cell shown
calculated formation energy	0.105	eV/atom
theoretical density	4.2	g/cm3

abc: 3.4238 3.4238 8.1528
angles: 90.00 90.00 120.00
Space group P-3m1 (No. 164)
One atom of each set of equivalent atoms:
As 0.3333 0.6667 0.1771 x2
P 0.3333 0.6667 0.6602 x2



[2]
The following is a DFT calculation (SCAN) of AsP at its PBEsol-relaxed geometry.

Values from the calculation:
total magnetic moment	0.000	μB/atom
offset from the most stable computed form	142.9	meV/atom
total DFT energy (no corrections)	-181.0	eV for the cell shown
calculated formation energy	0.208	eV/atom
theoretical density	5.2	g/cm3

abc: 3.616 10.932 5.144
angles: 90.00 90.00 90.00
Space group Cmmm (No. 65)
One atom of each set of equivalent atoms:
As 0.000 0.000 0.000 x2
As 0.000 0.338 0.500 x4
P 0.000 0.000 0.500 x2
P 0.000 0.327 0.000 x4



[3]
The following is a DFT calculation (SCAN) of AsP at its PBEsol-relaxed geometry.

Values from the calculation:
total magnetic moment	0.000	μB/atom
offset from the most stable computed form	33.6	meV/atom
total DFT energy (no corrections)	-121.6	eV for the cell shown
calculated formation energy	0.098	eV/atom
theoretical density	4.3	g/cm3

abc: 5.468 5.468 5.468
angles: 90.00 90.00 90.00
Space group P2_13 (No. 198)
One atom of each set of equivalent atoms:
As 0.034 0.466 0.534 x4
P 0.036 0.536 0.964 x4



[4]
The following is a DFT calculation (SCAN) of AsP4 at its PBEsol-relaxed geometry.

Values from the calculation:
total magnetic moment	0.000	μB/atom
total DFT energy (no corrections)	-113.8	eV for the cell shown
calculated formation energy	0.981	eV/atom
theoretical density	3.6	g/cm3

abc: 5.687 5.687 5.687
angles: 90.00 90.00 90.00
Space group Im-3m (No. 229)
One atom of each set of equivalent atoms:
As 0.000 0.000 0.000 x2
P 0.250 0.250 0.250 x8



[5]
The following is a DFT calculation (SCAN) of AsP at its PBEsol-relaxed geometry.

Values from the calculation:
total magnetic moment	0.000	μB/atom
offset from the most stable computed form	0.0	meV/atom
total DFT energy (no corrections)	-121.8	eV for the cell shown
calculated formation energy	0.065	eV/atom
theoretical density	4.5	g/cm3

abc: 10.616 3.560 4.142
angles: 90.00 90.29 90.00
Space group C2/m (No. 12)
One atom of each set of equivalent atoms:
As 0.116 0.000 0.074 x4
P 0.102 0.500 0.456 x4



[6]
The following is a DFT calculation (SCAN) of As5P at its PBEsol-relaxed geometry.

Values from the calculation:
total magnetic moment	0.000	μB/atom
total DFT energy (no corrections)	-425.2	eV for the cell shown
calculated formation energy	0.844	eV/atom
theoretical density	6.0	g/cm3

abc: 7.656 7.656 7.656
angles: 90.00 90.00 90.00
Space group F-43m (No. 216)
One atom of each set of equivalent atoms:
As 0.000 0.000 0.000 x4
As 0.124 0.124 0.376 x16
P 0.250 0.250 0.750 x4



[7]
The following is a DFT calculation (SCAN) of AsP at its PBEsol-relaxed geometry.

Values from the calculation:
total magnetic moment	0.000	μB/atom
offset from the most stable computed form	28.5	meV/atom
total DFT energy (no corrections)	-182.4	eV for the cell shown
calculated formation energy	0.093	eV/atom
theoretical density	4.8	g/cm3

abc: 3.6016 3.6016 19.6015
angles: 90.00 90.00 120.00
Space group R-3m (No. 166, hexagonal axes)
One atom of each set of equivalent atoms:
As 0.0000 0.0000 0.1076 x6
P 0.0000 0.0000 0.3775 x6



[8]
The following is a DFT calculation (SCAN) of AsP3 at its PBEsol-relaxed geometry.

Values from the calculation:
total magnetic moment	0.000	μB/atom
total DFT energy (no corrections)	-47.5	eV for the cell shown
calculated formation energy	0.964	eV/atom
theoretical density	4.5	g/cm3

abc: 3.945 3.945 3.945
angles: 90.00 90.00 90.00
Space group Pm-3m (No. 221)
One atom of each set of equivalent atoms:
As 0.000 0.000 0.000 x1
P 0.000 0.500 0.500 x3



[9]
The following is a DFT calculation (SCAN) of AsP at its PBEsol-relaxed geometry.

Values from the calculation:
total magnetic moment	0.000	μB/atom
offset from the most stable computed form	348.2	meV/atom
total DFT energy (no corrections)	-119.1	eV for the cell shown
calculated formation energy	0.413	eV/atom
theoretical density	4.1	g/cm3

abc: 3.251 5.478 9.742
angles: 90.00 90.00 90.00
Space group Imma (No. 74)
One atom of each set of equivalent atoms:
As 0.000 0.250 0.011 x4
P 0.000 0.250 0.664 x4



[10]
The following is a DFT calculation (SCAN) of As2PPb at its PBEsol-relaxed geometry.

Values from the calculation:
total magnetic moment	0.000	μB/atom
offset from the most stable computed form	0.0	meV/atom
total DFT energy (no corrections)	-125.9	eV for the cell shown
calculated formation energy	0.173	eV/atom
theoretical density	7.3	g/cm3

abc: 4.744 3.848 5.069
angles: 90.00 108.09 90.00
Space group P2/m (No. 10)
One atom of each set of equivalent atoms:
As 0.247 0.000 0.181 x2
P 0.500 0.500 0.000 x1
Pb 0.000 0.500 0.500 x1



[11]
The following is a DFT calculation (SCAN) of As2PPb at its PBEsol-relaxed geometry.

Values from the calculation:
total magnetic moment	0.000	μB/atom
offset from the most stable computed form	445.3	meV/atom
total DFT energy (no corrections)	-124.1	eV for the cell shown
calculated formation energy	0.618	eV/atom
theoretical density	8.0	g/cm3

abc: 4.797 4.797 3.521
angles: 90.00 90.00 90.00
Space group P4/mmm (No. 123)
One atom of each set of equivalent atoms:
As 0.000 0.500 0.000 x2
P 0.000 0.000 0.500 x1
Pb 0.500 0.500 0.500 x1



[12]
The following is a DFT calculation (SCAN) of As2PPb at its PBEsol-relaxed geometry.

Values from the calculation:
total magnetic moment	0.000	μB/atom
offset from the most stable computed form	15.1	meV/atom
total DFT energy (no corrections)	-377.4	eV for the cell shown
calculated formation energy	0.188	eV/atom
theoretical density	7.5	g/cm3

abc: 3.9340 3.9340 19.1038
angles: 90.00 90.00 120.00
Space group R3m (No. 160, hexagonal axes)
One atom of each set of equivalent atoms:
As 0.0000 0.0000 0.0000 x3
As 0.0000 0.0000 0.2598 x3
P 0.0000 0.0000 0.5228 x3
Pb 0.0000 0.0000 0.7673 x3



Question: Among the records above, which one has the lowest theoretical density?
Answer: AsP4



Question: What is the total DFT energy (no corrections) in the eighth record?
Answer: -47.5 eV for the cell shown



Question: Which value of total DFT energy (no corrections) does entry 8 give?
Answer: -47.5 eV for the cell shown